(1)
## Tb4Te3Os (PBE-GGA)

Data for a geometry-optimized Tb4Te3Os structure.

Cell: 7.6077 7.6077 4.2387 Å, 90.00 90.00 108.47°
Last column: nearest neighbours and their distance in Å.
Atoms (fractional coordinates):
Tb1 0.2154 0.2154 0.5000  2 Os 2.86, 2 Te 3.10
Tb2 0.2195 0.7805 0.0000  1 Os 2.71
Tb3 0.7805 0.2195 0.0000  1 Os 2.71
Tb4 0.7846 0.7846 0.5000  2 Os 2.86, 2 Te 3.10
Te1 0.0000 0.5000 0.5000  6 Tb 3.09-3.10
Te2 0.5000 0.0000 0.5000  6 Tb 3.09-3.10
Te3 0.5000 0.5000 0.0000  6 Tb 3.30-3.46
Os1 0.0000 0.0000 0.0000  6 Tb 2.71-2.86

Calculated values
uncorrected formation energy: -1.01 eV/atom
DFT total energy: -5.91 eV/atom
space group: Cmmm, No. 65

=====

(2)
## Tb3Te2Os (PBE-GGA)

Data for a geometry-optimized Tb3Te2Os structure.

Cell: 7.9516 7.9516 4.2192 Å, 90.00 90.00 135.85°
Last column: nearest neighbours and their distance in Å.
Atoms (fractional coordinates):
Tb1 0.0000 0.0000 0.0000  2 Os 2.99, 4 Te 3.16
Tb2 0.3781 0.6219 0.5000  2 Os 2.77, 2 Te 3.04
Tb3 0.6219 0.3781 0.5000  2 Os 2.77, 2 Te 3.04
Te1 0.1596 0.8404 0.5000  5 Tb 3.04-3.22
Te2 0.8404 0.1596 0.5000  5 Tb 3.04-3.22
Os1 0.5000 0.5000 0.0000  6 Tb 2.77-2.99

Calculated values
uncorrected formation energy: -0.75 eV/atom
DFT total energy: -5.98 eV/atom
space group: Cmmm, No. 65

=====

- Look up the DFT total energy of the second one.
  -5.98 eV/atom